1.
! TaPBr2 (GGA-PBE, optimized geometry); values from VASP
! - formation energy from raw total energies (meV/atom) = 737
! - E_tot (eV per formula unit) = -17.7
! - ΔE to the lowest computed polymorph (meV/atom) = 1158
! - D(E_F) (states/eV/f.u.) = 3.16
&SYSTEM
  ibrav = 0, nat = 4, ntyp = 3
/
ATOMIC_SPECIES
Br 79.90 Br.upf
Ta 180.95 Ta.upf
P 30.97 P.upf
CELL_PARAMETERS angstrom
5.015 -0.006 -0.016
-2.381 4.916 0.000
0.253 1.237 3.252
ATOMIC_POSITIONS angstrom
Br 0.000 0.000 0.000
Br 2.634 0.615 1.618
Ta 1.317 2.455 -0.008
P -1.064 3.076 1.626

2.
! La3Pm8 (GGA-PBE, optimized geometry); values from VASP
! - E_tot (eV per formula unit) = -48.2
! - ΔE to the lowest computed polymorph (meV/atom) = 399
! - D(E_F) (states/eV/f.u.) = 16.49
&SYSTEM
  ibrav = 0, nat = 11, ntyp = 2
/
ATOMIC_SPECIES
Pm 145.00 Pm.upf
La 138.91 La.upf
CELL_PARAMETERS angstrom
7.248 0.135 0.132
0.319 7.242 0.132
0.319 0.311 7.237
ATOMIC_POSITIONS angstrom
Pm 1.272 5.299 6.321
Pm 5.330 6.347 0.980
Pm 2.994 2.919 2.847
Pm 1.405 6.580 2.359
Pm 2.556 1.341 6.520
Pm 6.481 1.108 5.141
Pm 6.614 2.389 1.179
Pm 4.892 4.769 4.653
La 3.783 0.223 3.684
La 3.783 3.689 0.132
La 0.319 3.777 3.684

3.
! MnZn2CdCo (GGA-PBE, optimized geometry); values from VASP
! - E_tot (eV per formula unit) = -15.8
! - D(E_F) (states/eV/f.u.) = 4.85
&SYSTEM
  ibrav = 0, nat = 5, ntyp = 4
/
ATOMIC_SPECIES
Zn 65.41 Zn.upf
Cd 112.41 Cd.upf
Co 58.93 Co.upf
Mn 54.94 Mn.upf
CELL_PARAMETERS angstrom
4.708 0.000 0.000
0.000 4.161 0.000
0.000 0.000 4.708
ATOMIC_POSITIONS angstrom
Zn 2.354 0.000 0.000
Zn 0.000 0.000 2.354
Cd 2.354 2.081 2.354
Co 0.000 2.081 0.000
Mn 0.000 0.000 0.000

4.
! Tb2Pr4Tl3H2 (GGA-PBE, optimized geometry); values from VASP
! - E_tot (eV per formula unit) = -45.0
! - D(E_F) (states/eV/f.u.) = 9.11
&SYSTEM
  ibrav = 0, nat = 11, ntyp = 4
/
ATOMIC_SPECIES
Pr 140.91 Pr.upf
Tl 204.38 Tl.upf
H 1.01 H.upf
Tb 158.93 Tb.upf
CELL_PARAMETERS angstrom
-2.046 4.396 -0.352
-3.886 -1.614 2.434
8.431 2.033 9.956
ATOMIC_POSITIONS angstrom
Pr -0.071 2.794 1.740
Pr -0.991 -0.210 3.133
Pr 3.490 5.025 8.904
Pr 2.569 2.021 10.297
Tl 1.938 1.214 3.899
Tl 0.561 3.601 8.138
Tl 0.000 0.000 0.000
H -1.771 2.139 3.444
H 4.270 2.676 8.593
Tb 3.271 2.050 6.582
Tb -0.772 2.766 5.455

5.
! CePrSe3 (GGA-PBE, optimized geometry); values from VASP
! - formation energy from raw total energies (meV/atom) = -1799
! - E_tot (eV per formula unit) = -30.2
! - ΔE to the lowest computed polymorph (meV/atom) = 68
! - D(E_F) (states/eV/f.u.) = 5.55
&SYSTEM
  ibrav = 0, nat = 10, ntyp = 3
/
ATOMIC_SPECIES
Se 78.96 Se.upf
Ce 140.12 Ce.upf
Pr 140.91 Pr.upf
CELL_PARAMETERS angstrom
4.166 0.000 0.000
-2.083 7.559 0.638
0.000 0.003 9.253
ATOMIC_POSITIONS angstrom
Se 0.000 3.862 3.473
Se 2.083 3.700 6.418
Se 2.083 7.108 3.724
Se 0.000 5.434 9.001
Se 2.083 2.128 0.890
Se 0.000 0.453 6.167
Ce 0.000 2.559 8.172
Ce 2.083 5.003 1.719
Pr 2.083 1.720 4.052
Pr 0.000 5.843 5.840

6.
! Ca2TeI (GGA-PBE, optimized geometry); values from VASP
! - formation energy from raw total energies (meV/atom) = -1088
! - E_tot (eV per formula unit) = -13.0
! - ΔE to the lowest computed polymorph (meV/atom) = 218
! - D(E_F) (states/eV/f.u.) = 2.86
&SYSTEM
  ibrav = 0, nat = 8, ntyp = 3
/
ATOMIC_SPECIES
Ca 40.08 Ca.upf
Te 127.60 Te.upf
I 126.90 I.upf
CELL_PARAMETERS angstrom
7.122 0.000 0.000
0.000 7.122 0.000
3.561 3.561 7.189
ATOMIC_POSITIONS angstrom
Ca 8.902 8.766 5.391
Ca 5.205 1.780 1.797
Ca 5.341 5.477 5.391
Ca 1.917 5.341 1.797
Te 3.561 7.122 3.594
Te 3.561 3.561 0.000
I 0.000 0.000 0.000
I 7.122 3.561 3.594

7.
! La2DyMgO (GGA-PBE, optimized geometry); values from VASP
! - formation energy from raw total energies (meV/atom) = -1205
! - E_tot (eV per formula unit) = -27.0
! - D(E_F) (states/eV/f.u.) = 3.53
&SYSTEM
  ibrav = 0, nat = 5, ntyp = 4
/
ATOMIC_SPECIES
Dy 162.50 Dy.upf
Mg 24.30 Mg.upf
O 16.00 O.upf
La 138.91 La.upf
CELL_PARAMETERS angstrom
4.715 0.000 0.000
0.000 5.193 0.000
0.000 0.000 5.193
ATOMIC_POSITIONS angstrom
Dy 2.358 0.000 0.000
Mg 2.358 2.597 2.597
O 0.000 0.000 0.000
La 0.000 0.000 2.597
La 0.000 2.597 0.000

8.
! ScCd (GGA-PBE, optimized geometry); values from VASP
! - E_tot (eV per formula unit) = -7.5
! - D(E_F) (states/eV/f.u.) = 1.93
&SYSTEM
  ibrav = 0, nat = 4, ntyp = 2
/
ATOMIC_SPECIES
Sc 44.96 Sc.upf
Cd 112.41 Cd.upf
CELL_PARAMETERS angstrom
-2.429 0.123 -2.259
1.803 -2.765 0.349
-6.351 -3.300 6.650
ATOMIC_POSITIONS angstrom
Sc -5.782 -3.315 3.598
Sc -1.196 -2.627 1.143
Cd 0.000 0.000 0.000
Cd -3.175 -1.650 3.325

9.
! FePd15Pb4 (GGA-PBE, optimized geometry); values from VASP
! - E_tot (eV per formula unit) = -105.9
! - D(E_F) (states/eV/f.u.) = 8.46
&SYSTEM
  ibrav = 0, nat = 20, ntyp = 3
/
ATOMIC_SPECIES
Pd 106.42 Pd.upf
Pb 207.20 Pb.upf
Fe 55.84 Fe.upf
CELL_PARAMETERS angstrom
4.071 0.000 0.000
0.000 4.071 0.000
0.000 0.000 20.318
ATOMIC_POSITIONS angstrom
Pd 2.036 0.000 18.494
Pd 0.000 2.036 6.001
Pd 0.000 2.036 1.824
Pd 2.036 0.000 1.824
Pd 2.036 2.036 12.237
Pd 0.000 2.036 18.494
Pd 2.036 0.000 10.159
Pd 2.036 0.000 6.001
Pd 2.036 2.036 0.000
Pd 2.036 2.036 3.938
Pd 2.036 0.000 14.317
Pd 2.036 2.036 8.081
Pd 2.036 2.036 16.380
Pd 0.000 2.036 14.317
Pd 0.000 2.036 10.159
Pb 0.000 0.000 8.078
Pb 0.000 0.000 12.240
Pb 0.000 0.000 3.914
Pb 0.000 0.000 16.405
Fe 0.000 0.000 0.000

10.
! ScBe2CCl (GGA-PBE, optimized geometry); values from VASP
! - formation energy from raw total energies (meV/atom) = -340
! - E_tot (eV per formula unit) = -26.6
! - D(E_F) (states/eV/f.u.) = 1.95
&SYSTEM
  ibrav = 0, nat = 5, ntyp = 4
/
ATOMIC_SPECIES
Be 9.01 Be.upf
Cl 35.45 Cl.upf
Sc 44.96 Sc.upf
C 12.01 C.upf
CELL_PARAMETERS angstrom
3.501 0.000 0.000
0.000 5.043 0.000
0.000 0.000 3.501
ATOMIC_POSITIONS angstrom
Be 1.751 0.000 0.000
Be 0.000 0.000 1.751
Cl 1.751 2.521 1.751
Sc 0.000 2.521 0.000
C 0.000 0.000 0.000

11.
! Ga2SiIr2 (GGA-PBE, optimized geometry); values from VASP
! - formation energy from raw total energies (meV/atom) = -455
! - E_tot (eV per formula unit) = -31.5
! - ΔE to the lowest computed polymorph (meV/atom) = 0
! - D(E_F) (states/eV/f.u.) = 2.37
&SYSTEM
  ibrav = 0, nat = 5, ntyp = 3
/
ATOMIC_SPECIES
Ga 69.72 Ga.upf
Si 28.09 Si.upf
Ir 192.22 Ir.upf
CELL_PARAMETERS angstrom
-3.992 0.220 0.867
-1.901 -3.193 1.712
1.171 1.931 4.900
ATOMIC_POSITIONS angstrom
Ga -3.225 0.331 4.368
Ga -1.496 -1.372 3.111
Si -1.996 0.110 0.434
Ir -3.784 -0.589 2.033
Ir -0.938 -0.452 5.446

12.
! KMnFeGe2 (GGA-PBE, optimized geometry); values from VASP
! - E_tot (eV per formula unit) = -26.6
! - D(E_F) (states/eV/f.u.) = 2.89
&SYSTEM
  ibrav = 0, nat = 5, ntyp = 4
/
ATOMIC_SPECIES
Ge 72.64 Ge.upf
Mn 54.94 Mn.upf
Fe 55.84 Fe.upf
K 39.10 K.upf
CELL_PARAMETERS angstrom
-1.336 -4.133 -1.340
3.730 -0.177 -3.175
2.629 -1.885 3.193
ATOMIC_POSITIONS angstrom
Ge 1.314 -0.942 1.597
Ge -0.668 -2.066 -0.670
Mn 1.865 -0.088 -1.587
Fe 0.000 0.000 0.000
K 2.511 -3.097 -0.661